Compound: Pr2ErOs
Source: Alexandria via LeMat-Bulk
Functional: PBE
Structure: optimized geometry

Geometry as extended XYZ:
```
16
Lattice="7.4650 0.0000 0.0000 0.0000 9.5713 0.0000 0.0000 0.0000 6.4776" Properties=species:S:1:pos:R:3 pbc="T T T"
Pr 1.3165 0.6173 1.1147
Pr 1.3165 4.1684 1.1147
Pr 2.4160 5.4029 4.3535
Pr 2.4160 8.9540 4.3535
Pr 5.0490 0.6173 2.1242
Pr 5.0490 4.1684 2.1242
Pr 6.1485 5.4029 5.3630
Pr 6.1485 8.9540 5.3630
Er 0.3325 2.3928 4.1716
Er 3.4000 7.1785 0.9328
Er 4.0651 2.3928 5.5448
Er 7.1325 7.1785 2.3060
Os 0.8683 7.1785 6.2682
Os 2.8642 2.3928 3.0293
Os 4.6009 7.1785 3.4483
Os 6.5967 2.3928 0.2095
```

Summary:
energy above the lowest structure with this stoichiometry	0.000	eV/atom
energy of formation	-127	meV per atom
space group	Pnma, No. 62
crystal system	orthorhombic
spin magnetization	0.000	Bohr magnetons per cell